Entry 1:
Na2TiTe3 | PBE | relaxed

a = 7.445 Å, b = 7.445 Å, c = 7.437 Å
α = 97.68°, β = 97.68°, γ = 68.01°
Element x y z (fractional)
Na (0.023, 0.666, 0.842)
Na (0.334, 0.977, 0.658)
Na (0.666, 0.023, 0.342)
Na (0.977, 0.334, 0.158)
Ti (0.411, 0.589, 0.250)
Ti (0.589, 0.411, 0.750)
Te (0.103, 0.897, 0.250)
Te (0.298, 0.396, 0.496)
Te (0.396, 0.298, 0.996)
Te (0.604, 0.702, 0.004)
Te (0.702, 0.604, 0.504)
Te (0.897, 0.103, 0.750)

## Properties
E_form (uncorrected), eV/atom: -0.76
SG: C2/c
Crystal system: monoclinic

***

Entry 2:
LiNd3Co8 | PBE | relaxed

a = 8.838 Å, b = 8.838 Å, c = 8.838 Å
α = 33.40°, β = 33.40°, γ = 33.40°
Element x y z (fractional)
Li (0.000, 0.000, 0.000)
Nd (0.367, 0.367, 0.367)
Nd (0.496, 0.496, 0.496)
Nd (0.880, 0.880, 0.880)
Co (0.185, 0.185, 0.185)
Co (0.429, 0.934, 0.934)
Co (0.436, 0.436, 0.940)
Co (0.436, 0.940, 0.436)
Co (0.683, 0.683, 0.683)
Co (0.934, 0.429, 0.934)
Co (0.934, 0.934, 0.429)
Co (0.940, 0.436, 0.436)

## Properties
SG: R3m
Energy of formation from the pure elements, eV per atom: 0.00
Crystal system: trigonal

***

Entry 3:
Sr3InNi | PBE | relaxed

a = 5.715 Å, b = 5.715 Å, c = 5.715 Å
α = 90.00°, β = 90.00°, γ = 90.00°
Element x y z (fractional)
Sr (0.000, 0.000, 0.500)
Sr (0.000, 0.500, 0.000)
Sr (0.500, 0.000, 0.000)
In (0.500, 0.500, 0.500)
Ni (0.000, 0.000, 0.000)

## Properties
SG: Pm-3m
Energy of formation from the pure elements, eV per atom: -0.06
Crystal system: cubic

***

Entry 4:
Ta2Mo5W | PBE | relaxed

a = 5.865 Å, b = 5.865 Å, c = 4.670 Å
α = 90.00°, β = 90.00°, γ = 90.00°
Element x y z (fractional)
Ta (0.000, 0.500, 0.000)
Ta (0.500, 0.000, 0.000)
Mo (0.000, 0.000, 0.000)
Mo (0.293, 0.293, 0.500)
Mo (0.293, 0.707, 0.500)
Mo (0.707, 0.293, 0.500)
Mo (0.707, 0.707, 0.500)
W (0.000, 0.000, 0.500)

## Properties
SG: P4/mmm
Energy of formation from the pure elements, eV per atom: 1.22
Crystal system: tetragonal